No. 1
# LiGd2Zn | the Alexandria database | PBE-GGA | optimized geometry
data_LiGd2Zn
_symmetry_space_group_name_H-M 'F m -3 m'
_symmetry_Int_Tables_number 225
_symmetry_space_group_name_Hall '-F 4 2 3'
_cell_length_a 7.282
_cell_length_b 7.282
_cell_length_c 7.282
_cell_angle_alpha 90.00
_cell_angle_beta 90.00
_cell_angle_gamma 90.00
loop_
_atom_site_label
_atom_site_fract_x
_atom_site_fract_y
_atom_site_fract_z
Li1 0.000 0.000 0.000
Gd1 0.250 0.250 0.250
Zn1 0.000 0.000 0.500
# ΔE_f: -0.13 eV per atom
# Crystal system: cubic
# Relative energy among the computed polymorphs: 0.02 eV/f.u.
# Size of the total moment: 15.03 μB/f.u.

***

No. 2
# Zn2CdBi | the Alexandria database | PBE-GGA | optimized geometry
data_Zn2CdBi
_symmetry_space_group_name_H-M 'P 4/m m m'
_symmetry_Int_Tables_number 123
_symmetry_space_group_name_Hall '-P 4 2'
_cell_length_a 4.574
_cell_length_b 4.574
_cell_length_c 4.241
_cell_angle_alpha 90.00
_cell_angle_beta 90.00
_cell_angle_gamma 90.00
loop_
_atom_site_label
_atom_site_fract_x
_atom_site_fract_y
_atom_site_fract_z
Zn1 0.000 0.500 0.000
Cd1 0.000 0.000 0.500
Bi1 0.500 0.500 0.500
# ΔE_f: 0.18 eV per atom
# Crystal system: tetragonal
# Relative energy among the computed polymorphs: 0.15 eV/f.u.
# Size of the total moment: 0.00 μB/f.u.

***

> Which of these has the highest relative energy among the computed polymorphs?

Zn2CdBi